# Y2ErIr3 PBE relaxed
data_Y2ErIr3
_symmetry_space_group_name_H-M 'P 1'
_symmetry_Int_Tables_number 1
_symmetry_space_group_name_Hall 'P 1'
_cell_length_a 4.842
_cell_length_b 4.842
_cell_length_c 5.929
_cell_angle_alpha 90.00
_cell_angle_beta 90.00
_cell_angle_gamma 120.00
loop_
_atom_site_label
_atom_site_type_symbol
_atom_site_fract_x
_atom_site_fract_y
_atom_site_fract_z
Y1 Y 0.667 0.333 0.333
Y2 Y 0.333 0.667 0.667
Er1 Er 0.000 0.000 0.000
Ir1 Ir 0.000 0.000 0.500
Ir2 Ir 0.667 0.333 0.836
Ir3 Ir 0.333 0.667 0.164
# * DOS(E_F): 2.69 states/eV per cell
# * ΔE_f: -0.81 eV per atom